MnBiPO5 | PBE with a Hubbard U | relaxed

Unit cell a=5.4619 b=11.4474 c=7.7428 alpha=90.00 beta=112.19 gamma=90.00
Closest atoms and distances in Å follow each position.
Space group P2_1/c (No. 14)
One atom of each set of equivalent atoms:
Mn 0.0551 0.0878 0.1896  6 O 2.13-2.29
Bi 0.4424 0.0980 0.8167  3 O 2.17-2.41
P 0.3168 0.6503 0.0234  4 O 1.55-1.56
O 0.1847 0.7266 0.4917  1 P 1.56
O 0.2292 0.5783 0.1614  1 P 1.56
O 0.2396 0.5819 0.8370  1 P 1.55
O 0.2615 0.0242 0.0127  2 Bi 2.17-2.26, 2 Mn 2.20-2.24
O 0.3798 0.1746 0.3943  1 P 1.56

V	14.01	A^3/atom
crystal system	monoclinic
VASP energy	-7.11	eV per atom
ρ	5.6	g/cm3